# 1
First-principles (meta-GGA SCAN) data for a crystal of Zr2IrCl relaxed with PBEsol, as listed in Alexandria.

a b c (Å): 3.0280 4.9062 4.9062
angles (deg): 96.04 98.26 98.26
Closest atoms and distances in Å follow each position.
Positions (direct):
Zr (0.0000, 0.0000, 0.5000)  2 Ir 2.69, 2 Cl 2.69
Cl (0.5000, 0.5000, 0.5000)  4 Zr 2.69
Zr (0.0000, 0.5000, 0.0000)  2 Cl 2.69, 2 Ir 2.69
Ir (0.5000, 0.0000, 0.0000)  4 Zr 2.69

- Formation energy without anion corrections: -16.71 kcal/mol of atoms
- Energy relative to the lowest polymorph listed for this composition: 198 meV per atom
- Crystal system: monoclinic

=====

# 2
First-principles (meta-GGA SCAN) data for a crystal of TlTeAsO2 relaxed with PBEsol, as listed in Alexandria.

a b c (Å): 4.0666 4.0666 5.5483
angles (deg): 90.00 90.00 90.00
Closest atoms and distances in Å follow each position.
Positions (direct):
Tl (0.5000, 0.5000, 0.5000)  4 As 2.88
Te (0.0000, 0.0000, 0.0000)  4 O 2.03
O (0.5000, 0.0000, 0.0000)  2 Te 2.03
As (0.0000, 0.0000, 0.5000)  2 Te 2.77, 4 Tl 2.88
O (0.0000, 0.5000, 0.0000)  2 Te 2.03

- Formation energy without anion corrections: -8.35 kcal/mol of atoms
- Crystal system: tetragonal

=====

# 3
First-principles (meta-GGA SCAN) data for a crystal of Ba2LaIn relaxed with PBEsol, as listed in Alexandria.

a b c (Å): 3.9345 6.3844 6.3844
angles (deg): 108.79 90.00 90.00
Closest atoms and distances in Å follow each position.
Positions (direct):
Ba (0.0000, 0.0000, 0.5000)  4 Ba 3.72-3.93, 4 In 3.75, 4 La 3.75
La (0.5000, 0.0000, 0.0000)  2 In 3.72, 8 Ba 3.75, 2 La 3.93
Ba (0.0000, 0.5000, 0.0000)  4 Ba 3.72-3.93, 4 La 3.75, 4 In 3.75
In (0.5000, 0.5000, 0.5000)  2 La 3.72, 8 Ba 3.75, 2 In 3.93

- ΔE_f: -0.0771 eV per atom
- Crystal system: orthorhombic

=====

# 4
First-principles (meta-GGA SCAN) data for a crystal of Cs2NbPd relaxed with PBEsol, as listed in Alexandria.

a b c (Å): 5.7306 5.7306 5.7306
angles (deg): 60.00 60.00 60.00
Closest atoms and distances in Å follow each position.
Positions (direct):
Pd (0.5000, 0.5000, 0.5000)  8 Cs 3.51
Cs (0.2500, 0.2500, 0.2500)  4 Nb 3.51, 4 Pd 3.51
Cs (0.7500, 0.7500, 0.7500)  4 Pd 3.51, 4 Nb 3.51
Nb (0.0000, 0.0000, 0.0000)  8 Cs 3.51

- ΔE_f: 1.2824 eV per atom
- Crystal system: cubic

=====

| no. | DOS(E_F) (states/eV per cell) | magnetization (Bohr magnetons per cell) | energy (eV per atom) |
| --- | --- | --- | --- |
| 1 | 2.84 | 0.00 | -35.843 |
| 2 | 1.74 | 0.00 | -28.815 |
| 3 | 3.86 | 0.00 | -38.975 |
| 4 | 2.45 | 5.00 | -34.099 |